Record 1
A plane-wave DFT calculation with GGA-PBE was carried out for an optimized crystal structure of La3SmZn2.

Properties
E_tot ... -46.6 eV for the cell shown
Energy above the lowest structure with this stoichiometry ... 0.00 eV per formula unit

Lattice parameters (Å, degrees): 5.3105 6.8435 9.6281 90.00 90.00 90.00
Closest atoms and distances in Å follow each position.
Positions (direct):
La  0.0000  0.4982  0.9399  3 Zn 3.16-3.19, 1 La 3.39
La  0.0000  0.9982  0.0601  3 Zn 3.16-3.19, 1 La 3.39
La  0.5000  0.6774  0.1727  4 Zn 3.15-3.24, 1 Sm 3.45
La  0.5000  0.1774  0.8273  4 Zn 3.15-3.24, 1 Sm 3.45
La  0.0000  0.3155  0.3308  4 Zn 3.08-3.22, 1 La 3.39
La  0.0000  0.8155  0.6692  4 Zn 3.08-3.22, 1 La 3.39
Sm  0.5000  0.5080  0.5565  3 Zn 3.12-3.20, 1 La 3.45
Sm  0.5000  0.0080  0.4435  3 Zn 3.12-3.20, 1 La 3.45
Zn  0.5000  0.7179  0.8444  1 Sm 3.12, 6 La 3.15-3.22
Zn  0.5000  0.2179  0.1556  1 Sm 3.12, 6 La 3.15-3.22
Zn  0.0000  0.2830  0.6493  5 La 3.08-3.24, 2 Sm 3.20
Zn  0.0000  0.7830  0.3507  5 La 3.08-3.24, 2 Sm 3.20

---

Record 2
A plane-wave DFT calculation with GGA-PBE was carried out for an optimized crystal structure of La5Sm4Zn.

Properties
E_tot ... -45.3 eV for the cell shown

Lattice parameters (Å, degrees): 3.7392 3.7392 24.2184 90.00 90.00 90.00
Closest atoms and distances in Å follow each position.
Positions (direct):
La  0.5000  0.5000  0.0767  4 Zn 3.23
La  0.5000  0.5000  0.2890  8 Sm 3.64-3.68, 4 La 3.74
La  0.5000  0.5000  0.5000  8 Sm 3.67, 4 La 3.74
La  0.5000  0.5000  0.7110  8 Sm 3.64-3.68, 4 La 3.74
La  0.5000  0.5000  0.9233  4 Zn 3.23
Sm  0.0000  0.0000  0.1857  8 La 3.64-3.74, 4 Sm 3.74
Sm  0.0000  0.0000  0.3950  8 La 3.67-3.68, 4 Sm 3.74
Sm  0.0000  0.0000  0.6050  8 La 3.67-3.68, 4 Sm 3.74
Sm  0.0000  0.0000  0.8143  8 La 3.64-3.74, 4 Sm 3.74
Zn  0.0000  0.0000  0.0000  8 La 3.23

---

Record 3
A plane-wave DFT calculation with GGA-PBE was carried out for an optimized crystal structure of La4SmZn.

Properties
E_tot ... -26.3 eV for the cell shown
Energy above the lowest structure with this stoichiometry ... 0.00 eV per formula unit

Lattice parameters (Å, degrees): 3.7399 3.7399 14.1418 90.00 90.00 90.00
Closest atoms and distances in Å follow each position.
Positions (direct):
La  0.5000  0.5000  0.1814  4 Sm 3.68, 8 La 3.73-3.74
La  0.0000  0.0000  0.6326  4 Zn 3.24
La  0.0000  0.0000  0.3674  4 Zn 3.24
La  0.5000  0.5000  0.8186  4 Sm 3.68, 8 La 3.73-3.74
Sm  0.0000  0.0000  0.0000  8 La 3.68, 4 Sm 3.74
Zn  0.5000  0.5000  0.5000  8 La 3.24

---

Record 4
A plane-wave DFT calculation with GGA-PBE was carried out for an optimized crystal structure of LaSm4Zn.

Properties
E_tot ... -25.6 eV for the cell shown
Energy above the lowest structure with this stoichiometry ... 0.00 eV per formula unit

Lattice parameters (Å, degrees): 3.6636 3.6636 13.9399 90.00 90.00 90.00
Closest atoms and distances in Å follow each position.
Positions (direct):
La  0.0000  0.0000  0.0000  4 La 3.66, 8 Sm 3.67
Sm  0.5000  0.5000  0.1868  8 Sm 3.66, 4 La 3.67
Sm  0.0000  0.0000  0.6280  4 Zn 3.15
Sm  0.0000  0.0000  0.3720  4 Zn 3.15
Sm  0.5000  0.5000  0.8132  8 Sm 3.66, 4 La 3.67
Zn  0.5000  0.5000  0.5000  8 Sm 3.15

---

Record 5
A plane-wave DFT calculation with GGA-PBE was carried out for an optimized crystal structure of La7Sm2Zn2.

Properties
E_tot ... -46.4 eV for the cell shown

Lattice parameters (Å, degrees): 3.7685 10.5328 10.5328 64.97 79.69 79.69
Closest atoms and distances in Å follow each position.
Positions (direct):
La  0.8246  0.0260  0.3248  1 Zn 3.14, 3 Sm 3.37-3.47
La  0.8588  0.4544  0.8280  2 Zn 3.11
La  0.5000  0.0301  0.9699  3 Zn 3.35-3.56
La  0.5998  0.4977  0.3027  3 Zn 3.33-3.34, 3 La 3.47-3.67, 2 Sm 3.59
La  0.4002  0.6973  0.5023  3 Zn 3.33-3.34, 3 La 3.47-3.67, 2 Sm 3.59
La  0.1754  0.6752  0.9740  1 Zn 3.14, 3 Sm 3.37-3.47
La  0.1412  0.1720  0.5456  2 Zn 3.11
Sm  0.7242  0.8613  0.6904  7 La 3.37-3.59, 2 Sm 3.77
Sm  0.2758  0.3096  0.1387  7 La 3.37-3.59, 2 Sm 3.77
Zn  0.0000  0.7851  0.2149  8 La 3.14-3.35
Zn  0.5000  0.3450  0.6550  6 La 3.11-3.34

---

Record 6
A plane-wave DFT calculation with GGA-PBE was carried out for an optimized crystal structure of LaSm5Zn4.

Properties
E_tot ... -36.2 eV for the cell shown

Lattice parameters (Å, degrees): 3.6520 3.6520 19.8049 90.00 90.00 90.00
Closest atoms and distances in Å follow each position.
Positions (direct):
La  0.0000  0.0000  0.0000  4 La 3.65, 8 Sm 3.72
Sm  0.5000  0.5000  0.1353  4 Zn 3.14
Sm  0.5000  0.5000  0.3179  8 Zn 3.14-3.17
Sm  0.5000  0.5000  0.5000  8 Zn 3.16
Sm  0.5000  0.5000  0.6821  8 Zn 3.14-3.17
Sm  0.5000  0.5000  0.8647  4 Zn 3.14
Zn  0.0000  0.0000  0.2252  8 Sm 3.14-3.17
Zn  0.0000  0.0000  0.4080  8 Sm 3.14-3.16
Zn  0.0000  0.0000  0.5920  8 Sm 3.14-3.16
Zn  0.0000  0.0000  0.7748  8 Sm 3.14-3.17

---

Record 7
A plane-wave DFT calculation with GGA-PBE was carried out for an optimized crystal structure of LaSm6Zn2.

Properties
E_tot ... -37.0 eV for the cell shown

Lattice parameters (Å, degrees): 3.7287 6.6281 11.8067 76.03 80.91 73.66
Closest atoms and distances in Å follow each position.
Positions (direct):
La  0.0000  0.0000  0.0000  4 Zn 3.24
Sm  0.6904  0.4930  0.1262  2 Zn 3.14, 3 Sm 3.43-3.47
Sm  0.3096  0.5070  0.8738  2 Zn 3.14, 3 Sm 3.43-3.47
Sm  0.3136  0.7850  0.5878  2 Zn 3.21, 4 Sm 3.43-3.58
Sm  0.9749  0.7201  0.3301  2 Zn 3.11, 1 Sm 3.48
Sm  0.0251  0.2799  0.6699  2 Zn 3.11, 1 Sm 3.48
Sm  0.6864  0.2150  0.4122  2 Zn 3.21, 4 Sm 3.43-3.58
Zn  0.3470  0.0947  0.2113  6 Sm 3.11-3.21, 2 La 3.24
Zn  0.6530  0.9053  0.7887  6 Sm 3.11-3.21, 2 La 3.24

---

Record 8
A plane-wave DFT calculation with GGA-PBE was carried out for an optimized crystal structure of La2SmZn.

Properties
E_tot ... -15.7 eV for the cell shown
Energy above the lowest structure with this stoichiometry ... 0.73 eV per formula unit

Lattice parameters (Å, degrees): 5.5638 5.5638 5.5638 60.00 60.00 60.00
Closest atoms and distances in Å follow each position.
Positions (direct):
Zn  0.0000  0.0000  0.0000  8 La 3.41
Sm  0.5000  0.5000  0.5000  8 La 3.41
La  0.2500  0.2500  0.2500  4 Sm 3.41, 4 Zn 3.41
La  0.7500  0.7500  0.7500  4 Zn 3.41, 4 Sm 3.41

---

Record 9
A plane-wave DFT calculation with GGA-PBE was carried out for an optimized crystal structure of La6Sm2Zn.

Properties
E_tot ... -40.7 eV for the cell shown
Energy above the lowest structure with this stoichiometry ... 0.00 eV per formula unit

Lattice parameters (Å, degrees): 3.7455 9.7495 9.7504 120.00 90.00 90.00
Closest atoms and distances in Å follow each position.
Positions (direct):
La  0.5000  0.6256  0.0000  4 Sm 3.60, 1 Zn 3.65, 8 La 3.75-3.98
La  0.5000  0.3745  0.3746  4 Sm 3.60, 1 Zn 3.65, 8 La 3.75-3.98
La  0.5000  0.9998  0.6254  4 Sm 3.60, 1 Zn 3.65, 8 La 3.75-3.98
La  0.0000  0.2653  0.0000  2 Zn 3.19
La  0.0000  0.7349  0.7348  2 Zn 3.19
La  0.0000  0.0001  0.2652  2 Zn 3.19
Sm  0.0000  0.3332  0.6667  9 La 3.60-3.63, 2 Sm 3.75
Sm  0.0000  0.6665  0.3333  9 La 3.60-3.63, 2 Sm 3.75
Zn  0.5000  0.0001  0.0000  6 La 3.19

---

Record 10
A plane-wave DFT calculation with GGA-PBE was carried out for an optimized crystal structure of La4SmZn5.

Properties
E_tot ... -33.9 eV for the cell shown

Lattice parameters (Å, degrees): 3.7406 3.7406 18.6642 90.00 90.00 90.00
Closest atoms and distances in Å follow each position.
Positions (direct):
La  0.0000  0.0000  0.1960  8 Zn 3.26-3.28
La  0.0000  0.0000  0.3989  8 Zn 3.25
La  0.0000  0.0000  0.6011  8 Zn 3.25
La  0.0000  0.0000  0.8040  8 Zn 3.26-3.28
Sm  0.0000  0.0000  0.0000  8 Zn 3.16
Zn  0.5000  0.5000  0.0922  4 Sm 3.16, 4 La 3.28, 1 Zn 3.44
Zn  0.5000  0.5000  0.2981  8 La 3.25-3.26
Zn  0.5000  0.5000  0.5000  8 La 3.25
Zn  0.5000  0.5000  0.7019  8 La 3.25-3.26
Zn  0.5000  0.5000  0.9078  4 Sm 3.16, 4 La 3.28, 1 Zn 3.44

---

Record 11
A plane-wave DFT calculation with GGA-PBE was carried out for an optimized crystal structure of La5SmZn6.

Properties
E_tot ... -40.7 eV for the cell shown

Lattice parameters (Å, degrees): 5.2812 7.4942 8.3668 90.00 71.60 89.99
Closest atoms and distances in Å follow each position.
Positions (direct):
Zn  0.8368  0.7542  0.3265  1 Sm 3.18, 7 La 3.22-3.28
Zn  0.8367  0.2458  0.3265  1 Sm 3.18, 7 La 3.22-3.28
Zn  0.5000  0.2431  0.0000  2 Sm 3.21, 6 La 3.22-3.30
Zn  0.5000  0.7569  0.0000  2 Sm 3.21, 6 La 3.22-3.30
Zn  0.1633  0.7542  0.6735  1 Sm 3.18, 7 La 3.22-3.28
Zn  0.1632  0.2458  0.6735  1 Sm 3.18, 7 La 3.22-3.28
Sm  0.0000  0.0000  0.0000  8 Zn 3.18-3.21
La  0.6690  0.5000  0.6621  8 Zn 3.26-3.30
La  0.3332  0.0000  0.3337  8 Zn 3.22-3.27
La  0.0000  0.5000  0.0000  8 Zn 3.22-3.27
La  0.6668  0.0000  0.6663  8 Zn 3.22-3.27
La  0.3310  0.5000  0.3379  8 Zn 3.26-3.30

---

Record 12
A plane-wave DFT calculation with GGA-PBE was carried out for an optimized crystal structure of La5SmZn3.

Properties
E_tot ... -69.0 eV for the cell shown

Lattice parameters (Å, degrees): 7.1162 9.2142 9.2137 120.00 90.00 90.00
Closest atoms and distances in Å follow each position.
Positions (direct):
La  0.0000  0.6667  0.3333  8 La 3.54-3.56, 6 Zn 3.58
La  0.5000  0.3333  0.6667  8 La 3.54-3.56, 6 Zn 3.58
La  0.0000  0.3333  0.6667  8 La 3.54-3.56, 6 Zn 3.58
La  0.5000  0.6667  0.3333  8 La 3.54-3.56, 6 Zn 3.58
La  0.7500  0.6639  0.6640  3 Zn 3.05-3.11
La  0.7500  0.0000  0.3360  3 Zn 3.05-3.11
La  0.7500  0.3361  0.0000  3 Zn 3.05-3.11
La  0.2500  0.3361  0.3360  3 Zn 3.05-3.11
La  0.2500  0.0000  0.6640  3 Zn 3.05-3.11
La  0.2500  0.6639  0.0000  3 Zn 3.05-3.11
Sm  0.0000  0.0000  0.0000  6 Zn 3.49, 2 Sm 3.56, 6 La 3.57
Sm  0.5000  0.0000  0.0000  6 Zn 3.49, 2 Sm 3.56, 6 La 3.57
Zn  0.7500  0.3261  0.3260  3 La 3.05-3.11
Zn  0.7500  0.0000  0.6740  3 La 3.05-3.11
Zn  0.7500  0.6738  0.0000  3 La 3.05-3.11
Zn  0.2500  0.6739  0.6740  3 La 3.05-3.11
Zn  0.2500  0.0000  0.3260  3 La 3.05-3.11
Zn  0.2500  0.3262  0.0000  3 La 3.05-3.11

---

no.,ρ (g/cm³)
1,6.6
2,6.7
3,6.5
4,7.2
5,6.3
6,7.2
7,7.2
8,6.7
9,6.5
10,6.6
11,6.5
12,6.6